Record 1
Compound: BaHBr2
Source: Alexandria via LeMat-Bulk
Functional: PBE-GGA
Structure: optimized geometry

SG = P-1, No. 2
Total moment = 0.00 μB/cell
E = -30.167 eV per cell

Unit cell a=5.002 b=8.185 c=8.602 alpha=61.85 beta=74.46 gamma=73.66
Fractional positions:
Br (0.348, 0.978, 0.307)
Br (0.652, 0.022, 0.693)
Br (0.858, 0.444, 0.823)
Br (0.142, 0.556, 0.177)
Ba (0.739, 0.263, 0.259)
Ba (0.261, 0.737, 0.741)
H (0.477, 0.545, 0.460)
H (0.523, 0.455, 0.540)



Record 2
Compound: Ba2H2Br
Source: Alexandria via LeMat-Bulk
Functional: PBE-GGA
Structure: optimized geometry

ΔE to the lowest computed polymorph = 0.000 eV per atom
SG = P-3m1, No. 164
Total moment = 1.40 μB/cell
E = -34.574 eV per cell

Unit cell a=4.509 b=7.818 c=9.021 alpha=115.70 beta=104.47 gamma=90.00
Fractional positions:
H (0.066, 0.400, 0.633)
H (0.567, 0.900, 0.633)
H (0.433, 0.100, 0.367)
H (0.934, 0.600, 0.367)
Br (0.750, 0.750, 0.000)
Br (0.250, 0.250, 0.000)
Ba (0.104, 0.770, 0.707)
Ba (0.603, 0.270, 0.707)
Ba (0.397, 0.730, 0.293)
Ba (0.896, 0.230, 0.293)



Record 3
Compound: Ba5H3Br12
Source: Alexandria via LeMat-Bulk
Functional: PBE-GGA
Structure: optimized geometry

SG = Ia-3d, No. 230
Total moment = 21.49 μB/cell
E = -245.494 eV per cell

Unit cell a=17.349 b=17.349 c=17.349 alpha=109.47 beta=109.47 gamma=109.47
Fractional positions:
Br (0.122, 0.184, 0.209)
Br (0.525, 0.316, 0.938)
Br (0.587, 0.562, 0.878)
Br (0.562, 0.975, 0.684)
Br (0.087, 0.709, 0.525)
Br (0.622, 0.913, 0.438)
Br (0.438, 0.413, 0.622)
Br (0.122, 0.938, 0.413)
Br (0.316, 0.525, 0.438)
Br (0.475, 0.791, 0.913)
Br (0.525, 0.209, 0.087)
Br (0.087, 0.378, 0.062)
Br (0.025, 0.587, 0.709)
Br (0.709, 0.622, 0.184)
Br (0.184, 0.062, 0.975)
Br (0.438, 0.025, 0.316)
Br (0.975, 0.413, 0.291)
Br (0.291, 0.913, 0.975)
Br (0.562, 0.587, 0.378)
Br (0.622, 0.709, 0.684)
Br (0.025, 0.438, 0.816)
Br (0.709, 0.087, 0.025)
Br (0.913, 0.622, 0.938)
Br (0.816, 0.938, 0.025)
Br (0.062, 0.878, 0.087)
Br (0.378, 0.291, 0.316)
Br (0.475, 0.684, 0.062)
Br (0.791, 0.316, 0.878)
Br (0.378, 0.087, 0.562)
Br (0.938, 0.816, 0.525)
Br (0.938, 0.122, 0.913)
Br (0.587, 0.025, 0.209)
Br (0.684, 0.209, 0.622)
Br (0.975, 0.562, 0.184)
Br (0.913, 0.291, 0.475)
Br (0.791, 0.475, 0.413)
Br (0.878, 0.062, 0.587)
Br (0.816, 0.878, 0.291)
Br (0.062, 0.184, 0.475)
Br (0.316, 0.791, 0.378)
Br (0.209, 0.684, 0.122)
Br (0.878, 0.816, 0.791)
Br (0.209, 0.525, 0.587)
Br (0.413, 0.975, 0.791)
Br (0.413, 0.438, 0.122)
Br (0.684, 0.475, 0.562)
Br (0.184, 0.122, 0.709)
Br (0.291, 0.378, 0.816)
Ba (0.750, 0.125, 0.875)
Ba (0.500, 0.500, 0.000)
Ba (0.000, 0.000, 0.000)
Ba (0.000, 0.500, 0.000)
Ba (0.375, 0.250, 0.125)
Ba (0.000, 0.000, 0.500)
Ba (0.875, 0.625, 0.750)
Ba (0.750, 0.625, 0.375)
Ba (0.625, 0.750, 0.875)
Ba (0.625, 0.875, 0.250)
Ba (0.250, 0.375, 0.625)
Ba (0.125, 0.750, 0.375)
Ba (0.500, 0.500, 0.500)
Ba (0.375, 0.125, 0.750)
Ba (0.500, 0.000, 0.000)
Ba (0.250, 0.875, 0.125)
Ba (0.000, 0.500, 0.500)
Ba (0.125, 0.375, 0.250)
Ba (0.875, 0.250, 0.625)
Ba (0.500, 0.000, 0.500)
H (0.625, 0.375, 0.750)
H (0.250, 0.125, 0.375)
H (0.125, 0.875, 0.750)
H (0.625, 0.250, 0.375)
H (0.375, 0.750, 0.625)
H (0.375, 0.625, 0.250)
H (0.750, 0.875, 0.625)
H (0.875, 0.125, 0.250)
H (0.250, 0.625, 0.875)
H (0.125, 0.250, 0.875)
H (0.875, 0.750, 0.125)
H (0.750, 0.375, 0.125)